Pm3DyIn | the Alexandria database | PBE-GGA | optimized geometry; DOS(E_F) = 11.3 states/eV per cell; crystal system = orthorhombic; distance to the lowest polymorph of the same formula = 89 meV/atom; formation energy from the elements = -0.1022 eV per atom; mass density = 7.23 g cm⁻³; spin magnetization = 0.000 Bohr magnetons per cell
1.0
5.469 0.000 0.000
0.000 8.499 0.000
0.000 0.000 7.040
Pm Dy In
6 2 2
Direct
0.250 0.062 0.221
0.250 0.250 0.718
0.250 0.438 0.221
0.750 0.562 0.779
0.750 0.750 0.282
0.750 0.938 0.779
0.250 0.750 0.554
0.750 0.250 0.446
0.250 0.750 0.983
0.750 0.250 0.017

---

CsCaTl2Cl5 | the Alexandria database | PBE-GGA | optimized geometry; DOS(E_F) = 0.0 states/eV per cell; crystal system = orthorhombic; mass density = 3.98 g cm⁻³; spin magnetization = 0.000 Bohr magnetons per cell; ΔE_f (raw) = -1695 meV per atom
1.0
-2.656 3.872 7.702
2.656 -3.872 7.702
2.656 3.872 -7.702
Cs Ca Tl Cl
1 1 2 5
Direct
0.000 0.000 0.000
0.500 0.500 0.000
0.288 0.788 0.500
0.712 0.212 0.500
0.126 0.371 0.755
0.384 0.629 0.755
0.500 0.000 0.500
0.616 0.371 0.245
0.874 0.629 0.245

---

FeTe2Ir | the Alexandria database | PBE-GGA | optimized geometry; DOS(E_F) = 2.3 states/eV per cell; crystal system = tetragonal; distance to the lowest polymorph of the same formula = 0 meV/atom; mass density = 8.47 g cm⁻³; spin magnetization = 0.003 Bohr magnetons per cell; ΔE_f (raw) = 2 meV per atom
1.0
3.987 0.000 0.000
0.000 3.987 0.000
0.000 0.000 6.208
Fe Te Ir
1 2 1
Direct
0.000 0.000 0.000
0.000 0.500 0.257
0.500 0.000 0.743
0.500 0.500 0.000

---

HfN | the Alexandria database | PBE-GGA | optimized geometry; DOS(E_F) = 1.0 states/eV per cell; crystal system = cubic; mass density = 14.31 g cm⁻³; spin magnetization = 0.000 Bohr magnetons per cell; ΔE_f (raw) = -762 meV per atom
1.0
2.816 0.000 0.000
0.000 2.816 0.000
0.000 0.000 2.816
Hf N
1 1
Direct
0.000 0.000 0.000
0.500 0.500 0.500

---

no.,energy (eV/cell)
1,-44.21
2,-32.08
3,-23.60
4,-19.80